Density functional theory data (PBE) for a geometry-optimized GaHgTe3 structure.

Results
* energy: -11.10 eV/cell
* magnetization: 0.0 μB/f.u.
* E_form (uncorrected): 0.330 eV/atom
* space-group type: Pm-3m
* energy above the most stable polymorph in this dataset: 0.362 eV/atom
* Fermi-level density of states: 6.2 states/eV/cell

abc: 5.449 5.449 5.449
angles: 90.00 90.00 90.00
Atoms (fractional coordinates):
Ga1 0.000 0.000 0.000
Hg1 0.500 0.500 0.500
Te1 0.500 0.000 0.000
Te2 0.000 0.000 0.500
Te3 0.000 0.500 0.000